# 1
A relaxed structure of Os2RhSe. Source: Alexandria via LeMat-Bulk, functional PBE.

```
Os2RhSe
1.0
3.8889 0.0000 0.0000
0.0000 3.8889 0.0000
0.0000 0.0000 3.9559
Os Rh Se
2 1 1
Direct
0.0000 0.5000 0.0000 Os
0.5000 0.0000 0.0000 Os
0.0000 0.0000 0.5000 Rh
0.5000 0.5000 0.5000 Se
```

Summary:
The value obtained for the formation energy from raw total energies is 770 meV/atom. As for the density of states at the Fermi level: 4.8 states/eV/f.u.

***

# 2
A relaxed structure of TbPm3Cd3. Source: Alexandria via LeMat-Bulk, functional PBE.

```
TbPm3Cd3
1.0
5.3673 -5.4592 0.0000
5.3673 5.4592 0.0000
0.0000 0.0000 7.1674
Tb Pm Cd
2 6 6
Direct
0.2470 0.7530 0.0000 Tb
0.7530 0.2470 0.0000 Tb
0.2364 0.2364 0.0000 Pm
0.2365 0.2365 0.5000 Pm
0.2445 0.7555 0.5000 Pm
0.7555 0.2445 0.5000 Pm
0.7636 0.7636 0.0000 Pm
0.7635 0.7635 0.5000 Pm
0.0000 0.5000 0.2461 Cd
0.0000 0.5000 0.7539 Cd
0.5000 0.0000 0.2461 Cd
0.5000 0.0000 0.7539 Cd
0.5000 0.5000 0.2477 Cd
0.5000 0.5000 0.7523 Cd
```

Summary:
The calculation puts the formation energy at -0.153 eV/atom. As for the density of states at the Fermi level: 9.4 states/eV/f.u.

***

# 3
A relaxed structure of PmSmDy2N4. Source: Alexandria via LeMat-Bulk, functional PBE.

```
PmSmDy2N4
1.0
6.1248 0.0000 0.0000
0.0000 3.5381 0.0000
-2.0379 0.0000 5.7801
Pm Sm Dy N
1 1 2 4
Direct
0.0000 0.0000 0.0000 Pm
0.5000 0.5000 0.0000 Sm
0.0000 0.5000 0.5000 Dy
0.5000 0.0000 0.5000 Dy
0.2482 0.0000 0.7424 N
0.2534 0.5000 0.2581 N
0.7466 0.5000 0.7419 N
0.7518 0.0000 0.2576 N
```

Summary:
The value obtained for the formation energy from raw total energies is -1572 meV/atom. As for the density of states at the Fermi level: 0.2 states/eV/f.u.

***

# 4
A relaxed structure of AcMgPtAu. Source: Alexandria via LeMat-Bulk, functional PBE.

```
AcMgPtAu
1.0
8.0364 0.0000 0.0000
0.0000 4.6354 0.0000
-2.6641 0.0000 5.1838
Ac Mg Pt Au
2 2 2 2
Direct
0.0000 0.0000 0.0000 Ac
0.5000 0.5000 0.0000 Ac
0.4907 0.0000 0.4726 Mg
0.9907 0.5000 0.4726 Mg
0.2858 0.5000 0.3570 Pt
0.7858 0.0000 0.3570 Pt
0.2108 0.0000 0.6328 Au
0.7108 0.5000 0.6328 Au
```

Summary:
The calculation puts the formation energy at -0.883 eV/atom. The calculation puts the relative energy among the computed polymorphs at 0.0 kJ per mole of atoms. As for the density of states at the Fermi level: 2.0 states/eV/f.u.

***

# 5
A relaxed structure of Cs2KAu. Source: Alexandria via LeMat-Bulk, functional PBE.

```
Cs2KAu
1.0
5.0098 0.0000 0.0000
-2.5049 4.3386 0.0000
0.0000 0.0000 39.9925
Cs K Au
6 3 3
Direct
0.0000 0.0000 0.1141 Cs
0.0000 0.0000 0.8859 Cs
0.3333 0.6667 0.5526 Cs
0.3333 0.6667 0.7807 Cs
0.6667 0.3333 0.2193 Cs
0.6667 0.3333 0.4474 Cs
0.0000 0.0000 0.0000 K
0.3333 0.6667 0.6667 K
0.6667 0.3333 0.3333 K
0.0000 0.0000 0.5000 Au
0.3333 0.6667 0.1667 Au
0.6667 0.3333 0.8333 Au
```

Summary:
The calculation puts the formation energy at -0.146 eV/atom. The calculation puts the relative energy among the computed polymorphs at 2.4 kJ per mole of atoms. As for the density of states at the Fermi level: 2.5 states/eV/f.u.

***

# 6
A relaxed structure of Sr4CuRh. Source: Alexandria via LeMat-Bulk, functional PBE.

```
Sr4CuRh
1.0
0.0000 4.7189 4.7189
4.7189 0.0000 4.7189
4.7189 4.7189 0.0000
Sr Cu Rh
4 1 1
Direct
0.3757 0.3757 0.3757 Sr
0.3757 0.3757 0.8728 Sr
0.3757 0.8728 0.3757 Sr
0.8728 0.3757 0.3757 Sr
0.0000 0.0000 0.0000 Cu
0.7500 0.7500 0.7500 Rh
```

Summary:
The calculation puts the formation energy at 0.950 eV/atom. As for the density of states at the Fermi level: 7.7 states/eV/f.u.

***

no.,mass density (g/cm³),uncorrected energy (eV/atom)
1,15.6,-7.554
2,7.4,-3.243
3,9.0,-8.069
4,11.1,-4.638
5,2.9,-1.667
6,4.1,-2.079